The following is a DFT calculation (PBE+U) of an optimized crystal structure of VGeO.

POSCAR file:
```
VGeO
1.0
3.083 0.000 0.000
-1.541 4.333 1.510
0.000 1.336 7.348
V Ge O
2 2 2
Direct
0.205 0.410 0.698
0.795 0.590 0.302
0.601 0.203 0.083
0.399 0.797 0.917
0.169 0.339 0.447
0.831 0.661 0.553
```

Output
Crystal system: monoclinic
Space-group type: C2/m, No. 12
Uncorrected energy in eV/atom: -6.35